Entry 1:
Below is a relaxed structure of LaTlPb2Br8, with properties calculated at the PBE level.

CIF file:
```
data_LaTlPb2Br8
_space_group_name_H-M_alt 'P 1'
_space_group_IT_number 1
_space_group_name_Hall 'P 1'
_cell_length_a 7.3633
_cell_length_b 6.9814
_cell_length_c 9.3324
_cell_angle_alpha 89.99
_cell_angle_beta 90.00
_cell_angle_gamma 89.35
loop_
_atom_site_label
_atom_site_type_symbol
_atom_site_fract_x
_atom_site_fract_y
_atom_site_fract_z
La1 La 0.0000 0.0000 0.0000
Tl1 Tl 0.0000 0.0000 0.5000
Pb1 Pb 0.5000 0.5000 0.7451
Pb2 Pb 0.5000 0.5000 0.2549
Br1 Br 0.1597 0.7552 0.2254
Br2 Br 0.6719 0.7505 0.0000
Br3 Br 0.8402 0.2446 0.2254
Br4 Br 0.8403 0.2448 0.7746
Br5 Br 0.3281 0.2495 0.0000
Br6 Br 0.1598 0.7554 0.7746
Br7 Br 0.6358 0.7304 0.5000
Br8 Br 0.3642 0.2696 0.5000
```

space group: P2/m
formation energy from raw total energies: -1.248 eV per atom

***

Entry 2:
Below is a relaxed structure of LaTlPbBr6, with properties calculated at the PBE level.

CIF file:
```
data_LaTlPbBr6
_space_group_name_H-M_alt 'P 1'
_space_group_IT_number 1
_space_group_name_Hall 'P 1'
_cell_length_a 7.7994
_cell_length_b 7.7994
_cell_length_c 14.2440
_cell_angle_alpha 90.00
_cell_angle_beta 90.00
_cell_angle_gamma 120.00
loop_
_atom_site_label
_atom_site_type_symbol
_atom_site_fract_x
_atom_site_fract_y
_atom_site_fract_z
La1 La 0.6667 0.3333 0.2500
La2 La 0.3333 0.6667 0.7500
Tl1 Tl 0.0000 0.0000 0.0000
Tl2 Tl 0.0000 0.0000 0.5000
Pb1 Pb 0.3333 0.6667 0.2500
Pb2 Pb 0.6667 0.3333 0.7500
Br1 Br 0.6428 0.6331 0.1320
Br2 Br 0.9904 0.3572 0.1320
Br3 Br 0.3572 0.9904 0.6320
Br4 Br 0.0096 0.6428 0.8680
Br5 Br 0.3668 0.3572 0.3680
Br6 Br 0.9904 0.6331 0.3680
Br7 Br 0.6332 0.9904 0.8680
Br8 Br 0.6428 0.0096 0.3680
Br9 Br 0.0096 0.3669 0.6320
Br10 Br 0.3668 0.0096 0.1320
Br11 Br 0.6332 0.6428 0.6320
Br12 Br 0.3572 0.3669 0.8680
```

space group: P-31c
formation energy from raw total energies: -1.393 eV per atom

***

Entry 3:
Below is a relaxed structure of LaPd3Br, with properties calculated at the PBE level.

CIF file:
```
data_LaPd3Br
_space_group_name_H-M_alt 'P 1'
_space_group_IT_number 1
_space_group_name_Hall 'P 1'
_cell_length_a 4.8981
_cell_length_b 4.8981
_cell_length_c 4.8981
_cell_angle_alpha 90.00
_cell_angle_beta 90.00
_cell_angle_gamma 90.00
loop_
_atom_site_label
_atom_site_type_symbol
_atom_site_fract_x
_atom_site_fract_y
_atom_site_fract_z
Br1 Br 0.0000 0.0000 0.0000
Pd1 Pd 0.0000 0.5000 0.0000
Pd2 Pd 0.0000 0.0000 0.5000
Pd3 Pd 0.5000 0.0000 0.0000
La1 La 0.5000 0.5000 0.5000
```

space group: Pm-3m
formation energy from raw total energies: -0.043 eV per atom
energy above the lowest structure with this stoichiometry: 0 meV per atom